Density functional theory data (PBE) for VFeH after structural relaxation.

Results
- N(E_F): 0.946 states/eV per atom
- Energy: -7.0713 eV/atom
- Energy above the lowest structure with this stoichiometry: 0.000 eV per atom

abc: 8.763 2.649 4.473
angles: 90.00 100.92 90.00
Space group C2/m (No. 12)
Unique sites:
V: 0.109 0.000 0.343 x4
Fe: 0.126 0.500 0.867 x4
H: 0.243 0.000 0.756 x4